(1)
Rb2PbCl4F2: optimized geometry, PBE-GGA.

The structure belongs to space group C2/m (No. 12); the cell edges are 11.859, 7.290 and 6.197 Å and the angles 90.00°, 105.71° and 90.00°. The distinct sites, in fractional coordinates, are Rb at (0.182, 0.000, 0.303), Pb at (0.000, 0.500, 0.000), Cl at (0.088, 0.249, 0.810) and F at (0.156, 0.500, 0.276).

(2)
RhPb3Cl2F6: optimized geometry, PBE-GGA.

The structure belongs to space group C2/m (No. 12); the cell edges are 13.969, 6.579 and 5.406 Å and the angles 90.00°, 94.88° and 90.00°. The distinct sites, in fractional coordinates, are Rh at (0.000, 0.000, 0.000), Pb at (0.000, 0.500, 0.500), Pb at (0.250, 0.250, 0.000), Cl at (0.200, 0.500, 0.424), F at (0.062, 0.227, 0.808) and F at (0.130, 0.000, 0.192).

(3)
Pb2SClF: optimized geometry, PBE-GGA.

The structure belongs to space group C2/m (No. 12); the cell edges are 15.554, 4.164 and 8.449 Å and the angles 90.00°, 109.44° and 90.00°. The distinct sites, in fractional coordinates, are Pb at (0.134, 0.000, 0.029), Pb at (0.156, 0.500, 0.561), S at (0.234, 0.000, 0.816), Cl at (0.021, 0.500, 0.776) and F at (0.185, 0.000, 0.407).

(4)
PbS2ClF: optimized geometry, PBE-GGA.

The relative energy among the computed polymorphs comes out at 414 meV per atom.

The structure belongs to space group P4/mmm (No. 123); the cell edges are 5.416, 5.416 and 5.318 Å and the angles 90.00°, 90.00° and 90.00°. The distinct sites, in fractional coordinates, are Pb at (0.000, 0.000, 0.000), S at (0.000, 0.500, 0.000), Cl at (0.000, 0.000, 0.500) and F at (0.500, 0.500, 0.500).

(5)
Pb2SCl2F: optimized geometry, PBE-GGA.

The structure belongs to space group Ibam (No. 72); the cell edges are 7.607, 14.737 and 5.351 Å and the angles 90.00°, 90.00° and 90.00°. The distinct sites, in fractional coordinates, are Pb at (0.199, 0.109, 0.000), S at (0.000, 0.500, 0.250), Cl at (0.155, 0.194, 0.500) and F at (0.000, 0.000, 0.250).

(6)
PbS2ClF: optimized geometry, PBE-GGA.

The relative energy among the computed polymorphs comes out at 0 meV per atom.

The structure belongs to space group P4/mmm (No. 123); the cell edges are 4.275, 4.275 and 5.729 Å and the angles 90.00°, 90.00° and 90.00°. The distinct sites, in fractional coordinates, are Pb at (0.000, 0.000, 0.000), S at (0.000, 0.500, 0.500), Cl at (0.500, 0.500, 0.000) and F at (0.500, 0.500, 0.500).

DOS at the Fermi energy
In order: 0.0; 2.0; 0.0; 6.6; 0.6; 2.9
Unit: states/eV/f.u.
Formation energy (no corrections)
In order: -14.9; -19.4; -6.3; 1.9; -7.0; -0.2
Unit: eV/f.u.